# 1
# SmZrCdHg

An optimized crystal structure of SmZrCdHg (PBE, Alexandria via LeMat-Bulk).

- Symmetry: F-43m
- M_tot: 0.8 μB per formula unit
- Energy of formation: -0.17 eV/atom
- Crystal system: cubic
- Fermi-level density of states: 1.191 states/eV per atom

Lattice parameters (Å, degrees): 5.183 5.183 5.183 60.00 60.00 60.00
Fractional coordinates of all 4 atoms:
Zr 0.000 0.000 0.000
Hg 0.750 0.750 0.750
Sm 0.500 0.500 0.500
Cd 0.250 0.250 0.250

***

# 2
# CdSn2Hg3

An optimized crystal structure of CdSn2Hg3 (PBE, Alexandria via LeMat-Bulk).

- Symmetry: P2_1/m
- M_tot: 0.0 μB per formula unit
- Energy of formation: 0.06 eV/atom
- Crystal system: monoclinic
- Fermi-level density of states: 0.336 states/eV per atom

Lattice parameters (Å, degrees): 3.272 10.085 10.513 100.41 90.00 90.00
Fractional coordinates of all 12 atoms:
Cd 0.750 0.331 0.796
Cd 0.250 0.669 0.204
Sn 0.750 0.758 0.458
Sn 0.250 0.242 0.542
Sn 0.250 0.104 0.924
Sn 0.750 0.896 0.076
Hg 0.250 0.962 0.656
Hg 0.750 0.038 0.344
Hg 0.250 0.432 0.361
Hg 0.750 0.568 0.639
Hg 0.750 0.619 0.926
Hg 0.250 0.381 0.074

***

# 3
# Cd3SnHg2

An optimized crystal structure of Cd3SnHg2 (PBE, Alexandria via LeMat-Bulk).

- Energy above the lowest structure with this stoichiometry: 10.7 meV per atom
- Symmetry: C2/m
- M_tot: 0.0 μB per formula unit
- Energy of formation: 0.04 eV/atom
- Crystal system: monoclinic
- Fermi-level density of states: 0.318 states/eV per atom

Lattice parameters (Å, degrees): 4.631 7.355 10.213 116.67 90.00 108.35
Fractional coordinates of all 12 atoms:
Cd 0.293 0.586 0.616
Cd 0.958 0.916 0.616
Cd 0.623 0.247 0.618
Cd 0.377 0.753 0.382
Cd 0.042 0.084 0.384
Cd 0.707 0.414 0.384
Sn 0.879 0.758 0.869
Sn 0.121 0.242 0.131
Hg 0.544 0.088 0.864
Hg 0.456 0.912 0.136
Hg 0.792 0.584 0.138
Hg 0.208 0.416 0.862